Entry 1:
LiCuTcSn: optimized geometry, PBE.

a = 4.3507 Å, b = 4.3507 Å, c = 4.3507 Å
α = 60.00°, β = 60.00°, γ = 60.00°
With the nearest neighbours (Å) after each atom.
Positions (direct):
Cu  0.7500  0.7500  0.7500  4 Tc 2.66, 4 Sn 2.66
Li  0.2500  0.2500  0.2500  4 Sn 2.66, 4 Tc 2.66
Sn  0.0000  0.0000  0.0000  4 Li 2.66, 4 Cu 2.66
Tc  0.5000  0.5000  0.5000  4 Cu 2.66, 4 Li 2.66

Symmetry: F-43m (216)
Total moment (μB/f.u.): 0.7
E above lowest polymorph (eV per atom): 0.1167
Calculated density (g/cm³): 8.189

---

Entry 2:
LiCuTcSn: optimized geometry, PBE.

a = 4.4009 Å, b = 4.4009 Å, c = 4.4009 Å
α = 60.00°, β = 60.00°, γ = 60.00°
With the nearest neighbours (Å) after each atom.
Positions (direct):
Cu  0.7500  0.7500  0.7500  4 Sn 2.69, 4 Li 2.69
Li  0.5000  0.5000  0.5000  4 Tc 2.69, 4 Cu 2.69
Sn  0.0000  0.0000  0.0000  4 Tc 2.69, 4 Cu 2.69
Tc  0.2500  0.2500  0.2500  4 Sn 2.69, 4 Li 2.69

Symmetry: F-43m (216)
Total moment (μB/f.u.): 0.0
E above lowest polymorph (eV per atom): 0.0000
Calculated density (g/cm³): 7.913

---

Entry 3:
LiCu3SnTe4: optimized geometry, PBE.

a = 6.1923 Å, b = 8.0342 Å, c = 9.4521 Å
α = 90.00°, β = 106.00°, γ = 90.00°
With the nearest neighbours (Å) after each atom.
Positions (direct):
Cu  0.1595  0.7500  0.2559  3 Te 2.59-2.63, 2 Cu 2.64, 1 Sn 2.68, 1 Li 2.75
Cu  0.1977  0.5434  0.4792  4 Te 2.62-2.87, 2 Cu 2.64-2.68
Cu  0.1977  0.9566  0.4792  4 Te 2.62-2.87, 2 Cu 2.64-2.68
Cu  0.8023  0.0434  0.5208  4 Te 2.62-2.87, 2 Cu 2.64-2.68
Cu  0.8023  0.4566  0.5208  4 Te 2.62-2.87, 2 Cu 2.64-2.68
Cu  0.8405  0.2500  0.7441  3 Te 2.59-2.63, 2 Cu 2.64, 1 Sn 2.68, 1 Li 2.75
Li  0.3038  0.7500  0.0059  1 Cu 2.75, 1 Te 3.04
Li  0.6962  0.2500  0.9941  1 Cu 2.75, 1 Te 3.04
Sn  0.7644  0.7500  0.3204  3 Cu 2.68-2.99, 3 Te 2.93-2.98
Sn  0.2356  0.2500  0.6796  3 Cu 2.68-2.99, 3 Te 2.93-2.98
Te  0.8182  0.7500  0.0168  1 Cu 2.63
Te  0.4176  0.0078  0.2832  3 Cu 2.59-2.80
Te  0.4176  0.4922  0.2832  3 Cu 2.59-2.80
Te  0.9527  0.2500  0.3557  4 Cu 2.62-2.87
Te  0.0473  0.7500  0.6443  4 Cu 2.62-2.87
Te  0.5824  0.5078  0.7168  3 Cu 2.59-2.80
Te  0.5824  0.9922  0.7168  3 Cu 2.59-2.80
Te  0.1819  0.2500  0.9832  1 Cu 2.63

Symmetry: P2_1/m (11)
E above lowest polymorph (eV per atom): 0.0000
Calculated density (g/cm³): 6.074

---

Entry 4:
LiCu3SnTe4: optimized geometry, PBE.

a = 6.2029 Å, b = 6.2029 Å, c = 6.2029 Å
α = 90.00°, β = 90.00°, γ = 90.00°
With the nearest neighbours (Å) after each atom.
Positions (direct):
Cu  0.5000  0.5000  0.0000  4 Te 2.72
Cu  0.5000  0.0000  0.5000  4 Te 2.72
Cu  0.0000  0.5000  0.5000  4 Te 2.72
Li  0.0000  0.0000  0.0000  4 Te 2.59
Sn  0.5000  0.5000  0.5000  4 Te 2.78, 6 Cu 3.10
Te  0.2410  0.2410  0.2410  1 Li 2.59, 3 Cu 2.72, 1 Sn 2.78
Te  0.7590  0.7590  0.2410  1 Li 2.59, 3 Cu 2.72, 1 Sn 2.78
Te  0.7590  0.2410  0.7590  1 Li 2.59, 3 Cu 2.72, 1 Sn 2.78
Te  0.2410  0.7590  0.7590  1 Li 2.59, 3 Cu 2.72, 1 Sn 2.78

Symmetry: P-43m (215)
E above lowest polymorph (eV per atom): 0.0449
Calculated density (g/cm³): 5.752

---

Entry 5:
Li4Zn2CuSn: optimized geometry, PBE.

a = 4.3361 Å, b = 4.3361 Å, c = 6.2622 Å
α = 90.00°, β = 90.00°, γ = 90.00°
With the nearest neighbours (Å) after each atom.
Positions (direct):
Cu  0.0000  0.0000  0.5000  4 Zn 2.58, 4 Li 2.59
Li  0.0000  0.0000  0.0000  4 Li 2.76, 4 Zn 2.78, 4 Sn 3.07
Li  0.0000  0.5000  0.2736  4 Li 2.59-2.76, 2 Cu 2.59, 2 Sn 2.76, 1 Zn 2.82
Li  0.5000  0.5000  0.5000  4 Zn 2.58, 4 Li 2.59
Li  0.5000  0.0000  0.7264  4 Li 2.59-2.76, 2 Cu 2.59, 2 Sn 2.76, 1 Zn 2.82
Sn  0.5000  0.5000  0.0000  8 Li 2.76-3.07, 4 Zn 2.78
Zn  0.5000  0.0000  0.2768  5 Li 2.58-2.82, 2 Cu 2.58, 2 Sn 2.78
Zn  0.0000  0.5000  0.7232  5 Li 2.58-2.82, 2 Cu 2.58, 2 Sn 2.78

Symmetry: P-4m2 (115)
E (eV/atom): -2.48
Calculated density (g/cm³): 4.807

---

Entry 6:
Li4ZnCuSn2: optimized geometry, PBE.

a = 4.4837 Å, b = 4.4837 Å, c = 6.3387 Å
α = 90.00°, β = 90.00°, γ = 90.00°
With the nearest neighbours (Å) after each atom.
Positions (direct):
Cu  0.0000  0.0000  0.0000  4 Sn 2.71, 4 Li 2.73
Li  0.5000  0.5000  0.0000  4 Sn 2.71, 4 Li 2.73
Li  0.5000  0.0000  0.2454  4 Li 2.73-2.76, 2 Cu 2.73, 2 Zn 2.76
Li  0.0000  0.0000  0.5000  4 Li 2.76, 4 Sn 2.78
Li  0.0000  0.5000  0.7546  4 Li 2.73-2.76, 2 Cu 2.73, 2 Zn 2.76
Sn  0.0000  0.5000  0.2412  4 Li 2.71-2.78, 2 Cu 2.71, 2 Zn 2.78
Sn  0.5000  0.0000  0.7588  2 Cu 2.71, 4 Li 2.71-2.78, 2 Zn 2.78
Zn  0.5000  0.5000  0.5000  4 Li 2.76, 4 Sn 2.78

Symmetry: P-4m2 (115)
E (eV/atom): -2.92
Calculated density (g/cm³): 5.136

---

Entry 7:
Li4ZnCu2Sn: optimized geometry, PBE.

a = 4.2929 Å, b = 4.2929 Å, c = 6.0472 Å
α = 90.00°, β = 90.00°, γ = 90.00°
With the nearest neighbours (Å) after each atom.
Positions (direct):
Cu  0.0000  0.5000  0.2619  5 Li 2.58-2.84, 2 Zn 2.58, 2 Sn 2.67
Cu  0.5000  0.0000  0.7381  5 Li 2.58-2.84, 2 Zn 2.58, 2 Sn 2.67
Li  0.5000  0.5000  0.0000  4 Cu 2.67, 4 Li 2.69
Li  0.5000  0.0000  0.2679  4 Li 2.56-2.69, 2 Zn 2.56, 2 Sn 2.69, 1 Cu 2.84
Li  0.0000  0.0000  0.5000  4 Li 2.56, 4 Cu 2.58
Li  0.0000  0.5000  0.7321  4 Li 2.56-2.69, 2 Zn 2.56, 2 Sn 2.69, 1 Cu 2.84
Sn  0.0000  0.0000  0.0000  4 Cu 2.67, 4 Li 2.69
Zn  0.5000  0.5000  0.5000  4 Li 2.56, 4 Cu 2.58

Symmetry: P-4m2 (115)
E (eV/atom): -2.76
Calculated density (g/cm³): 5.051

---

Entry 8:
Sr2Li2Cu15: optimized geometry, PBE.

a = 6.5640 Å, b = 6.5640 Å, c = 6.5640 Å
α = 83.43°, β = 83.43°, γ = 83.43°
With the nearest neighbours (Å) after each atom.
Positions (direct):
Cu  0.5000  0.0000  0.0000  8 Cu 2.48-2.51, 2 Li 2.69
Cu  0.7059  0.2941  0.0000  8 Cu 2.48-2.69
Cu  0.0000  0.5000  0.0000  8 Cu 2.48-2.51, 2 Li 2.69
Cu  0.2941  0.7059  0.0000  8 Cu 2.48-2.69
Cu  0.6606  0.6606  0.1551  8 Cu 2.51-2.69, 1 Li 2.70
Cu  0.7059  0.0000  0.2941  8 Cu 2.48-2.69
Cu  0.0000  0.7059  0.2941  8 Cu 2.48-2.69
Cu  0.8449  0.3394  0.3394  8 Cu 2.51-2.69, 1 Li 2.70
Cu  0.3394  0.8449  0.3394  8 Cu 2.51-2.69, 1 Li 2.70
Cu  0.0000  0.0000  0.5000  8 Cu 2.48-2.51, 2 Li 2.69
Cu  0.6606  0.1551  0.6606  8 Cu 2.51-2.69, 1 Li 2.70
Cu  0.1551  0.6606  0.6606  8 Cu 2.51-2.69, 1 Li 2.70
Cu  0.2941  0.0000  0.7059  8 Cu 2.48-2.69
Cu  0.0000  0.2941  0.7059  8 Cu 2.48-2.69
Cu  0.3394  0.3394  0.8449  8 Cu 2.51-2.69, 1 Li 2.70
Li  0.0929  0.0929  0.0929  1 Li 2.34
Li  0.9071  0.9071  0.9071  1 Li 2.34
Sr  0.3429  0.3429  0.3429  18 Cu 3.10-3.36, 1 Li 3.15
Sr  0.6571  0.6571  0.6571  18 Cu 3.10-3.36, 1 Li 3.15

Symmetry: R-3m (166)
E (eV/atom): -3.39
Calculated density (g/cm³): 6.832